1.
NbFeBi, relaxed, DFT PBE; V = 53.97 Å³/f.u.; magnetization = 3.582 Bohr magnetons per cell; uncorrected energy = -0.521 Ry per atom
1.0
7.1286 0.0000 0.0000
-3.5643 6.1735 0.0000
0.0000 0.0000 3.6788
Nb Fe Bi
3 3 3
direct
0.0000 0.6193 0.0000
0.3807 0.3807 0.0000
0.6193 0.0000 0.0000
0.0000 0.0000 0.0000
0.3333 0.6667 0.5000
0.6667 0.3333 0.5000
0.0000 0.2790 0.5000
0.2790 0.0000 0.5000
0.7210 0.7210 0.5000


2.
NbFeBi, relaxed, DFT PBE; V = 58.51 Å³/f.u.; magnetization = 7.359 Bohr magnetons per cell; uncorrected energy = -0.519 Ry per atom
1.0
6.4748 0.0000 0.0000
0.0000 3.7127 0.0000
0.0000 0.0000 9.7361
Nb Fe Bi
4 4 4
direct
0.2329 0.2500 0.1534
0.2671 0.7500 0.6534
0.7329 0.2500 0.3466
0.7671 0.7500 0.8466
0.0956 0.7500 0.9618
0.4044 0.2500 0.4618
0.5956 0.7500 0.5382
0.9044 0.2500 0.0382
0.0990 0.7500 0.3627
0.4010 0.2500 0.8627
0.5990 0.7500 0.1373
0.9010 0.2500 0.6373


3.
NbFe2Bi, relaxed, DFT PBE; V = 62.99 Å³/f.u.; magnetization = 3.718 Bohr magnetons per cell; uncorrected energy = -0.528 Ry per atom
1.0
0.0000 3.1581 3.1581
3.1581 0.0000 3.1581
3.1581 3.1581 0.0000
Nb Fe Bi
1 2 1
direct
0.0000 0.0000 0.0000
0.5000 0.5000 0.5000
0.7500 0.7500 0.7500
0.2500 0.2500 0.2500


4.
NbFeBi, relaxed, DFT PBE; V = 56.13 Å³/f.u.; magnetization = 0.006 Bohr magnetons per cell; uncorrected energy = -0.531 Ry per atom
1.0
4.2850 0.0000 0.0000
-2.1425 3.7109 0.0000
0.0000 0.0000 7.0593
Nb Fe Bi
2 2 2
direct
0.0000 0.0000 0.0000
0.0000 0.0000 0.5000
0.3333 0.6667 0.3981
0.6667 0.3333 0.8981
0.3333 0.6667 0.7631
0.6667 0.3333 0.2631


5.
NbFeBi, relaxed, DFT PBE; V = 56.51 Å³/f.u.; magnetization = 3.951 Bohr magnetons per cell; uncorrected energy = -0.526 Ry per atom
1.0
6.7073 0.0000 0.0000
0.0000 4.2577 0.0000
0.0000 0.0000 7.9159
Nb Fe Bi
4 4 4
direct
0.0216 0.2500 0.2331
0.4784 0.7500 0.7331
0.5216 0.2500 0.2669
0.9784 0.7500 0.7669
0.1004 0.2500 0.9193
0.3996 0.7500 0.4193
0.6004 0.2500 0.5807
0.8996 0.7500 0.0807
0.2033 0.2500 0.5768
0.2967 0.7500 0.0768
0.7033 0.2500 0.9232
0.7967 0.7500 0.4232


6.
NbFeBi2, relaxed, DFT PBE; V = 85.32 Å³/f.u.; magnetization = 2.842 Bohr magnetons per cell; uncorrected energy = -0.430 Ry per atom
1.0
0.0000 3.4942 3.4942
3.4942 0.0000 3.4942
3.4942 3.4942 0.0000
Nb Fe Bi
1 1 2
direct
0.0000 0.0000 0.0000
0.2500 0.2500 0.2500
0.5000 0.5000 0.5000
0.7500 0.7500 0.7500


7.
NbFeNiBi, relaxed, DFT PBE; V = 63.45 Å³/f.u.; magnetization = 0.831 Bohr magnetons per cell; uncorrected energy = -0.493 Ry per atom
1.0
0.0000 3.1658 3.1658
3.1658 0.0000 3.1658
3.1658 3.1658 0.0000
Nb Fe Ni Bi
1 1 1 1
direct
0.0000 0.0000 0.0000
0.7500 0.7500 0.7500
0.2500 0.2500 0.2500
0.5000 0.5000 0.5000


8.
NbFeNiBi, relaxed, DFT PBE; V = 66.72 Å³/f.u.; magnetization = 2.002 Bohr magnetons per cell; uncorrected energy = -0.484 Ry per atom
1.0
0.0000 3.2192 3.2192
3.2192 0.0000 3.2192
3.2192 3.2192 0.0000
Nb Fe Ni Bi
1 1 1 1
direct
0.0000 0.0000 0.0000
0.7500 0.7500 0.7500
0.5000 0.5000 0.5000
0.2500 0.2500 0.2500